No. 1
BaAc6Pt3: relaxed, PBE.

a = 13.6758 Å, b = 4.4072 Å, c = 13.6851 Å
α = 90.00°, β = 102.26°, γ = 90.00°
Space group P2_1/m (No. 11)
One atom of each set of equivalent atoms:
1 Ba 0.1410 0.2500 0.0339 x2
2 Ac 0.0367 0.7500 0.7587 x2
3 Ac 0.1388 0.2500 0.5246 x2
4 Ac 0.2585 0.7500 0.3242 x2
5 Ac 0.3030 0.2500 0.8045 x2
6 Ac 0.4029 0.7500 0.0632 x2
7 Ac 0.4493 0.7500 0.6121 x2
8 Pt 0.0520 0.7500 0.3788 x2
9 Pt 0.3514 0.2500 0.4672 x2
10 Pt 0.4543 0.7500 0.8501 x2

Total energy in eV/atom: -5.16
ΔE_f in eV/atom: -0.6951


No. 2
Ba3AcPt2: relaxed, PBE.

a = 19.8159 Å, b = 4.5765 Å, c = 14.9366 Å
α = 90.00°, β = 127.66°, γ = 90.00°
Space group C2/m (No. 12)
One atom of each set of equivalent atoms:
1 Ba 0.0625 0.0000 0.1957 x4
2 Ba 0.1858 0.0000 0.5554 x4
3 Ba 0.1896 0.5000 0.0529 x4
4 Ac 0.0543 0.5000 0.6988 x4
5 Pt 0.1198 0.0000 0.8609 x4
6 Pt 0.1215 0.5000 0.3740 x4

Total energy in eV/atom: -4.34
ΔE_f in eV/atom: -0.6819


| no. | magnetic moment (Bohr magnetons per cell) |
| --- | --- |
| 1 | 0.000 |
| 2 | 0.000 |